Entry 1:
The following is a DFT calculation (PBE) of a relaxed CaZnRe2 crystal.

a b c (Å): 2.833 4.728 10.210
angles (deg): 90.00 90.00 90.00
Element x y z (fractional)
Ca 0.000 0.000 0.000
Ca 0.500 0.500 0.500
Zn 0.000 0.000 0.500
Zn 0.500 0.500 0.000
Re 0.000 0.500 0.221
Re 0.000 0.500 0.779
Re 0.500 0.000 0.279
Re 0.500 0.000 0.721

* formation energy from the elements: 48.84 kJ per mole of atoms
* symmetry: No. 71


Entry 2:
The following is a DFT calculation (PBE) of a relaxed Nd5Dy3Ho4 crystal.

a b c (Å): 5.695 5.695 14.979
angles (deg): 106.12 106.12 61.50
Element x y z (fractional)
Nd 0.000 0.000 0.000
Nd 0.332 0.332 0.501
Nd 0.454 0.454 0.754
Nd 0.546 0.546 0.246
Nd 0.668 0.668 0.499
Dy 0.205 0.205 0.249
Dy 0.500 0.500 0.000
Dy 0.795 0.795 0.751
Ho 0.062 0.062 0.624
Ho 0.177 0.177 0.857
Ho 0.823 0.823 0.143
Ho 0.938 0.938 0.376

* formation energy from the elements: 21.94 kJ per mole of atoms
* symmetry: No. 12


Entry 3:
The following is a DFT calculation (PBE) of a relaxed PmTh4In4 crystal.

a b c (Å): 9.666 9.666 6.483
angles (deg): 90.00 90.00 90.00
Element x y z (fractional)
Pm 0.250 0.250 0.250
Pm 0.750 0.750 0.750
Th 0.070 0.654 0.107
Th 0.154 0.930 0.607
Th 0.346 0.570 0.607
Th 0.430 0.846 0.107
Th 0.570 0.154 0.893
Th 0.654 0.430 0.393
Th 0.846 0.070 0.393
Th 0.930 0.346 0.893
In 0.019 0.627 0.606
In 0.127 0.981 0.106
In 0.373 0.519 0.106
In 0.481 0.873 0.606
In 0.519 0.127 0.394
In 0.627 0.481 0.894
In 0.873 0.019 0.894
In 0.981 0.373 0.394

* formation energy from the elements: 6.10 kJ per mole of atoms
* symmetry: No. 86


Entry 4:
The following is a DFT calculation (PBE) of a relaxed PrNd2Dy6Tm crystal.

a b c (Å): 8.801 8.801 9.713
angles (deg): 94.36 94.36 117.87
Element x y z (fractional)
Pr 0.019 0.981 0.750
Pr 0.981 0.019 0.250
Nd 0.197 0.299 0.544
Nd 0.299 0.197 0.044
Nd 0.701 0.803 0.956
Nd 0.803 0.701 0.456
Dy 0.018 0.571 0.686
Dy 0.123 0.741 0.057
Dy 0.259 0.877 0.443
Dy 0.295 0.509 0.881
Dy 0.429 0.982 0.814
Dy 0.491 0.705 0.619
Dy 0.509 0.295 0.381
Dy 0.571 0.018 0.186
Dy 0.705 0.491 0.119
Dy 0.741 0.123 0.557
Dy 0.877 0.259 0.943
Dy 0.982 0.429 0.314
Tm 0.408 0.592 0.250
Tm 0.592 0.408 0.750

* formation energy from the elements: 11.18 kJ per mole of atoms
* symmetry: No. 15


Entry 5:
The following is a DFT calculation (PBE) of a relaxed Hf3ZnCu crystal.

a b c (Å): 4.828 4.828 4.828
angles (deg): 90.00 90.00 90.00
Element x y z (fractional)
Hf 0.000 0.000 0.500
Hf 0.000 0.500 0.000
Hf 0.500 0.000 0.000
Zn 0.500 0.500 0.500
Cu 0.000 0.000 0.000

* formation energy from the elements: 55.89 kJ per mole of atoms
* symmetry: No. 221
* excess energy over the best structure of this formula in the dataset: 0 meV per atom


Entry 6:
The following is a DFT calculation (PBE) of a relaxed BaCeI6 crystal.

a b c (Å): 8.174 8.174 12.163
angles (deg): 91.12 91.12 73.49
Element x y z (fractional)
Ba 0.018 0.982 0.750
Ba 0.982 0.018 0.250
Ce 0.000 0.500 0.000
Ce 0.500 0.000 0.500
I 0.121 0.206 0.500
I 0.132 0.558 0.227
I 0.206 0.121 0.000
I 0.280 0.615 0.898
I 0.385 0.720 0.602
I 0.442 0.868 0.273
I 0.558 0.132 0.727
I 0.615 0.280 0.398
I 0.720 0.385 0.102
I 0.794 0.879 0.000
I 0.868 0.442 0.773
I 0.879 0.794 0.500

* symmetry: No. 15
* excess energy over the best structure of this formula in the dataset: 0 meV per atom


Entry 7:
The following is a DFT calculation (PBE) of a relaxed NiTeOs2 crystal.

a b c (Å): 5.349 9.463 2.897
angles (deg): 90.00 120.73 90.00
Element x y z (fractional)
Ni 0.000 0.000 0.000
Ni 0.500 0.500 0.000
Te 0.000 0.500 0.000
Te 0.500 0.000 0.000
Os 0.250 0.250 0.500
Os 0.250 0.750 0.500
Os 0.750 0.250 0.500
Os 0.750 0.750 0.500

* electronic total energy: -7.0516 eV per atom
* symmetry: No. 12


Entry 8:
The following is a DFT calculation (PBE) of a relaxed Mo2RuPt crystal.

a b c (Å): 2.789 4.466 4.859
angles (deg): 90.00 90.00 90.00
Element x y z (fractional)
Mo 0.000 0.000 0.000
Mo 0.000 0.500 0.338
Ru 0.500 0.000 0.489
Pt 0.500 0.500 0.838

* formation energy from the elements: -16.06 kJ per mole of atoms
* symmetry: No. 25
* excess energy over the best structure of this formula in the dataset: 31 meV per atom


Entry 9:
The following is a DFT calculation (PBE) of a relaxed Mg2CdIr crystal.

a b c (Å): 3.055 4.050 5.836
angles (deg): 90.00 90.00 90.00
Element x y z (fractional)
Mg 0.000 0.000 0.000
Mg 0.500 0.500 0.284
Cd 0.000 0.000 0.541
Ir 0.500 0.500 0.808

* formation energy from the elements: -10.50 kJ per mole of atoms
* symmetry: No. 25


Entry 10:
The following is a DFT calculation (PBE) of a relaxed SmHoAl crystal.

a b c (Å): 3.465 3.465 13.586
angles (deg): 90.00 90.00 90.00
Element x y z (fractional)
Sm 0.000 0.000 0.000
Sm 0.500 0.500 0.500
Ho 0.000 0.000 0.704
Ho 0.500 0.500 0.204
Al 0.000 0.000 0.348
Al 0.500 0.500 0.848

* formation energy from the elements: -22.68 kJ per mole of atoms
* symmetry: No. 107
* excess energy over the best structure of this formula in the dataset: 0 meV per atom


Entry 11:
The following is a DFT calculation (PBE) of a relaxed Ac5SnPb3 crystal.

a b c (Å): 10.344 10.344 7.288
angles (deg): 90.00 90.00 120.00
Element x y z (fractional)
Ac 0.000 0.266 0.250
Ac 0.000 0.734 0.750
Ac 0.266 0.000 0.250
Ac 0.266 0.266 0.750
Ac 0.333 0.667 0.000
Ac 0.333 0.667 0.500
Ac 0.667 0.333 0.000
Ac 0.667 0.333 0.500
Ac 0.734 0.000 0.750
Ac 0.734 0.734 0.250
Sn 0.000 0.000 0.000
Sn 0.000 0.000 0.500
Pb 0.000 0.385 0.750
Pb 0.000 0.615 0.250
Pb 0.385 0.000 0.750
Pb 0.385 0.385 0.250
Pb 0.615 0.000 0.250
Pb 0.615 0.615 0.750

* formation energy from the elements: -52.48 kJ per mole of atoms
* symmetry: No. 193